Entry 1:
# PmDySc2S6

Crystalline PmDySc2S6 at its relaxed geometry (PBE, the Alexandria database).

Cell lengths 6.7668, 6.7668, 7.1100 Å; angles 61.59, 61.59, 60.00 degrees
With the nearest neighbours (Å) after each atom.
Atoms (fractional coordinates):
Pm (0.8064, 0.8063, 0.5808)  6 S 2.78-2.88
Dy (0.3122, 0.3122, 0.0634)  6 S 2.73-2.78
Sc (0.5140, 0.5139, 0.4582)  6 S 2.57-2.63
Sc (0.0114, 0.0116, 0.9656)  6 S 2.56-2.63
S (0.6319, 0.2376, 0.2409)  2 Sc 2.57-2.63, 1 Dy 2.73
S (0.2376, 0.8895, 0.2409)  2 Sc 2.57-2.63, 1 Dy 2.73
S (0.8896, 0.6320, 0.2409)  2 Sc 2.57-2.63, 1 Dy 2.73
S (0.3756, 0.7370, 0.7415)  2 Sc 2.56-2.63, 1 Pm 2.78, 1 Dy 2.78
S (0.7370, 0.1458, 0.7415)  2 Sc 2.56-2.63, 1 Pm 2.78, 1 Dy 2.78
S (0.1459, 0.3756, 0.7415)  2 Sc 2.56-2.63, 1 Pm 2.78, 1 Dy 2.78

The raw formation energy comes out at -19.54 eV per formula unit. The size of the total moment comes out at 0.00 μB/atom. The density of states at the Fermi level comes out at 0.0 states/eV/cell. For the total energy, the calculation gives -6.63 eV per atom. Its space-group type is No. 146.

Entry 2:
# Pm2DyScS4

Crystalline Pm2DyScS4 at its relaxed geometry (PBE, the Alexandria database).

Cell lengths 3.8697, 6.7423, 6.9044 Å; angles 108.83, 90.00, 90.00 degrees
With the nearest neighbours (Å) after each atom.
Atoms (fractional coordinates):
Pm (0.5000, 0.0000, 0.5000)  6 S 2.82-2.83
Pm (0.0000, 0.5000, 0.5000)  6 S 2.88
Dy (0.5000, 0.5000, 0.0000)  6 S 2.73
Sc (0.0000, 0.0000, 0.0000)  6 S 2.67
S (0.5000, 0.2347, 0.2270)  2 Sc 2.67, 1 Dy 2.73, 3 Pm 2.83-2.88
S (0.5000, 0.7653, 0.7730)  2 Sc 2.67, 1 Dy 2.73, 3 Pm 2.83-2.88
S (0.0000, 0.2486, 0.7677)  1 Sc 2.67, 2 Dy 2.73, 3 Pm 2.82-2.88
S (0.0000, 0.7514, 0.2323)  1 Sc 2.67, 2 Dy 2.73, 3 Pm 2.82-2.88

The raw formation energy comes out at -15.73 eV per formula unit. The size of the total moment comes out at 0.00 μB/atom. The density of states at the Fermi level comes out at 4.5 states/eV/cell. For the total energy, the calculation gives -6.58 eV per atom. Its space-group type is No. 10.

Entry 3:
# Pm2DyScS6

Crystalline Pm2DyScS6 at its relaxed geometry (PBE, the Alexandria database).

Cell lengths 6.9285, 6.9284, 7.2762 Å; angles 61.57, 61.57, 60.00 degrees
With the nearest neighbours (Å) after each atom.
Atoms (fractional coordinates):
Pm (0.5241, 0.5241, 0.4279)  6 S 2.80-2.88
Pm (0.0221, 0.0221, 0.9339)  6 S 2.78-2.88
Dy (0.8165, 0.8166, 0.5504)  6 S 2.69-2.77
Sc (0.3194, 0.3192, 0.0420)  6 S 2.59-2.63
S (0.5922, 0.2006, 0.2559)  1 Sc 2.59, 1 Dy 2.77, 2 Pm 2.80-2.88
S (0.2006, 0.9512, 0.2559)  1 Sc 2.59, 1 Dy 2.77, 2 Pm 2.80-2.88
S (0.9513, 0.5922, 0.2559)  1 Sc 2.59, 1 Dy 2.77, 2 Pm 2.80-2.88
S (0.4350, 0.6912, 0.7645)  1 Sc 2.63, 1 Dy 2.69, 2 Pm 2.78-2.88
S (0.6913, 0.1093, 0.7645)  1 Sc 2.63, 1 Dy 2.69, 2 Pm 2.78-2.88
S (0.1092, 0.4351, 0.7645)  1 Sc 2.63, 1 Dy 2.69, 2 Pm 2.78-2.88

The raw formation energy comes out at -19.90 eV per formula unit. The size of the total moment comes out at 0.00 μB/atom. The density of states at the Fermi level comes out at 0.0 states/eV/cell. For the total energy, the calculation gives -6.51 eV per atom. Its space-group type is No. 146.

Entry 4:
# PmDySeS

Crystalline PmDySeS at its relaxed geometry (PBE, the Alexandria database).

Cell lengths 3.9487, 3.9500, 7.3945 Å; angles 90.00, 105.48, 120.01 degrees
With the nearest neighbours (Å) after each atom.
Atoms (fractional coordinates):
Pm (0.1183, 0.9571, 0.0904)  3 S 2.79, 3 Se 3.03
Dy (0.4870, 0.1414, 0.6439)  3 S 2.75, 3 Se 2.97
Se (0.9735, 0.3848, 0.3733)  3 Dy 2.97, 3 Pm 3.03
S (0.2991, 0.5475, 0.8620)  3 Dy 2.75, 3 Pm 2.79

The raw formation energy comes out at -7.60 eV per formula unit. The size of the total moment comes out at 0.00 μB/atom. The density of states at the Fermi level comes out at 1.0 states/eV/cell. For the total energy, the calculation gives -6.14 eV per atom. Its space-group type is No. 160.

Entry 5:
# Pm2Dy2Se2S3

Crystalline Pm2Dy2Se2S3 at its relaxed geometry (PBE, the Alexandria database).

Cell lengths 5.3867, 5.3867, 8.3957 Å; angles 108.71, 108.71, 90.00 degrees
With the nearest neighbours (Å) after each atom.
Atoms (fractional coordinates):
Pm (0.2009, 0.2009, 0.4017)  5 S 2.79-3.01, 1 Se 2.95
Pm (0.7991, 0.7991, 0.5983)  5 S 2.79-3.01, 1 Se 2.95
Dy (0.5000, 0.0000, 0.0000)  2 S 2.69
Dy (0.0000, 0.5000, 0.0000)  2 S 2.69
Se (0.6019, 0.6019, 0.2038)  1 Pm 2.95, 1 Se 3.05, 4 Dy 3.09
Se (0.3981, 0.3981, 0.7962)  1 Pm 2.95, 1 Se 3.05, 4 Dy 3.09
S (0.0000, 0.0000, 0.0000)  4 Dy 2.69, 2 Pm 3.01
S (0.2500, 0.7500, 0.5000)  4 Pm 2.79
S (0.7500, 0.2500, 0.5000)  4 Pm 2.79

The raw formation energy comes out at -15.19 eV per formula unit. The size of the total moment comes out at 0.00 μB/atom. The density of states at the Fermi level comes out at 5.0 states/eV/cell. For the total energy, the calculation gives -5.92 eV per atom. Its space-group type is No. 139.

Entry 6:
# PmDySiS

Crystalline PmDySiS at its relaxed geometry (PBE, the Alexandria database).

Cell lengths 4.0726, 4.0726, 7.1424 Å; angles 73.44, 73.44, 60.00 degrees
With the nearest neighbours (Å) after each atom.
Atoms (fractional coordinates):
Pm (0.6938, 0.6938, 0.9187)  3 Si 2.92, 3 S 2.93
Dy (0.1941, 0.1941, 0.4178)  3 S 2.86, 3 Si 2.87
Si (0.9418, 0.9418, 0.1747)  3 Dy 2.87, 3 Pm 2.92
S (0.4469, 0.4469, 0.6594)  3 Dy 2.86, 3 Pm 2.93

The raw formation energy comes out at -5.45 eV per formula unit. The size of the total moment comes out at 0.00 μB/atom. The density of states at the Fermi level comes out at 1.6 states/eV/cell. For the total energy, the calculation gives -6.09 eV per atom. Its space-group type is No. 160.